CoH4SeClO6 after structural relaxation. Source: Alexandria, functional GGA+U. Values from VASP.

Summary:
- symmetry = No. 2
- density (g cm⁻³) = 2.657
- VASP energy (eV for the cell shown) = -128.06

Geometry as Quantum ESPRESSO input:
```
&SYSTEM
  ibrav = 0, nat = 26, ntyp = 5
/
ATOMIC_SPECIES
Co 58.93 Co.upf
H 1.01 H.upf
Se 78.96 Se.upf
Cl 35.45 Cl.upf
O 16.00 O.upf
CELL_PARAMETERS angstrom
6.773 0.000 0.000
1.403 7.114 0.000
2.353 2.518 7.093
ATOMIC_POSITIONS angstrom
Co 0.000 0.000 0.000
Co 5.265 4.816 3.546
H 2.558 7.099 2.505
H 3.865 8.679 4.537
H 2.948 3.585 3.826
H 3.274 3.707 2.277
H 7.255 5.924 4.816
H 7.582 6.047 3.267
H 6.665 0.953 2.556
H 7.972 2.533 4.588
Se 4.344 4.308 6.951
Se 6.185 5.323 0.142
Cl 4.538 6.996 3.332
Cl 5.992 2.636 3.760
O 1.147 5.207 0.121
O 2.153 2.450 4.863
O 3.384 4.172 3.145
O 2.686 2.371 1.212
O 4.256 2.570 6.919
O 5.031 4.984 5.593
O 5.498 4.648 1.499
O 6.274 7.062 0.173
O 7.843 7.261 5.881
O 7.146 5.459 3.948
O 8.376 7.182 2.230
O 9.383 4.424 6.972
```